First-principles (PBE) data for crystalline PPtRh2 at its relaxed geometry, as listed in Alexandria via LeMat-Bulk.

Geometry as POSCAR:
```
PPtRh2
1.0
3.616 0.000 0.000
0.000 3.295 -0.009
0.000 1.545 4.948
P Pt Rh
1 1 2
Cartesian
1.808 1.647 -0.005 P
1.808 2.420 2.470 Pt
0.000 4.053 3.845 Rh
0.000 0.786 1.094 Rh
```

Computed properties:
Space-group type: P2/m, No. 10
M_tot, μB/f.u.: 0.00
Total DFT energy (no corrections), eV per atom: -6.784
Fermi-level density of states, states/eV/atom: 1.12

---

First-principles (PBE) data for crystalline TiNiS3 at its relaxed geometry, as listed in Alexandria via LeMat-Bulk.

Geometry as POSCAR:
```
TiNiS3
1.0
4.642 0.000 0.000
0.000 4.642 0.000
0.000 0.000 4.642
Ni S Ti
1 3 1
Cartesian
2.321 2.321 2.321 Ni
0.000 2.321 0.000 S
0.000 0.000 2.321 S
2.321 0.000 0.000 S
0.000 0.000 0.000 Ti
```

Computed properties:
Space-group type: Pm-3m, No. 221
Relative energy among the computed polymorphs, meV per atom: 842.2
M_tot, μB/f.u.: 1.68
Raw formation energy, meV per atom: 78
Total DFT energy (no corrections), eV per atom: -5.134
Fermi-level density of states, states/eV/atom: 2.40

---

First-principles (PBE) data for crystalline Be6Fe at its relaxed geometry, as listed in Alexandria via LeMat-Bulk.

Geometry as POSCAR:
```
Be6Fe
1.0
-1.734 3.213 -1.853
-4.665 0.289 4.866
4.785 5.054 4.288
Be Fe
24 4
Cartesian
-4.003 2.669 1.590 Be
2.390 5.886 5.711 Be
0.557 4.878 1.153 Be
-2.171 3.678 6.148 Be
-1.150 1.141 2.998 Be
0.381 5.849 5.206 Be
-3.814 3.394 4.989 Be
1.355 6.727 1.410 Be
-0.463 7.415 4.303 Be
-1.995 2.707 2.095 Be
2.200 5.162 2.312 Be
-2.969 1.828 5.891 Be
-0.458 1.613 0.964 Be
-1.156 6.943 6.338 Be
-1.843 2.758 4.245 Be
0.230 5.798 3.056 Be
-0.576 4.819 6.634 Be
-1.038 3.737 0.667 Be
1.767 4.686 4.211 Be
-3.381 3.870 3.090 Be
-0.199 3.886 4.664 Be
-1.414 4.670 2.638 Be
3.771 5.471 3.698 Be
-5.385 3.084 3.603 Be
1.911 7.167 3.856 Fe
-3.524 1.389 3.445 Fe
-2.109 5.529 4.778 Fe
0.495 3.027 2.524 Fe
```

Computed properties:
Space-group type: Pnma, No. 62
Relative energy among the computed polymorphs, meV per atom: 0.0
M_tot, μB/f.u.: 0.00
Total DFT energy (no corrections), eV per atom: -4.481
Fermi-level density of states, states/eV/atom: 0.05

---

First-principles (PBE) data for crystalline Ca3Ag2Hg5 at its relaxed geometry, as listed in Alexandria via LeMat-Bulk.

Geometry as POSCAR:
```
Ca3Ag2Hg5
1.0
-6.849 7.254 -0.893
-5.831 -4.927 4.691
8.366 1.390 3.302
Ca Ag Hg
6 4 10
Cartesian
-1.712 1.814 -0.223 Ca
-5.136 5.441 -0.670 Ca
-4.587 2.879 2.397 Ca
0.274 0.838 4.704 Ca
-3.536 -2.753 4.753 Ca
-0.777 6.470 2.347 Ca
-4.570 3.288 5.587 Ag
0.257 0.429 1.513 Ag
-1.652 -0.767 6.441 Ag
-2.661 4.484 0.659 Ag
-4.628 -0.650 2.122 Hg
-8.052 2.977 1.676 Hg
-7.042 4.250 4.269 Hg
-0.696 3.094 2.385 Hg
2.729 -0.533 2.832 Hg
-3.617 0.623 4.715 Hg
-2.728 4.856 4.195 Hg
-1.585 -1.139 2.906 Hg
2.390 2.660 3.279 Hg
-6.703 1.057 3.821 Hg
```

Computed properties:
Space-group type: Ibam, No. 72
M_tot, μB/f.u.: 0.00
Total DFT energy (no corrections), eV per atom: -1.568
Fermi-level density of states, states/eV/atom: 0.41

---

First-principles (PBE) data for crystalline Na2SmZn9 at its relaxed geometry, as listed in Alexandria via LeMat-Bulk.

Geometry as POSCAR:
```
Na2SmZn9
1.0
5.184 0.000 1.543
2.362 4.614 1.543
0.101 0.062 9.140
Na Sm Zn
2 1 9
Cartesian
6.503 3.977 6.589 Na
1.144 0.700 5.636 Na
0.000 0.000 0.000 Sm
5.023 3.071 2.082 Zn
2.624 1.605 10.143 Zn
3.824 2.338 6.112 Zn
3.163 1.934 3.546 Zn
5.780 1.934 4.325 Zn
4.356 4.263 4.325 Zn
4.484 2.742 8.679 Zn
3.292 0.413 7.900 Zn
1.867 2.742 7.900 Zn
```

Computed properties:
Space-group type: R-3m, No. 166
M_tot, μB/f.u.: 0.00
Total DFT energy (no corrections), eV per atom: -1.703
Fermi-level density of states, states/eV/atom: 0.53

---

First-principles (PBE) data for crystalline Na2SrPaO4 at its relaxed geometry, as listed in Alexandria via LeMat-Bulk.

Geometry as POSCAR:
```
Na2SrPaO4
1.0
3.603 0.000 0.000
0.000 6.303 0.058
0.000 -2.233 5.637
Na Sr Pa O
2 1 1 4
Cartesian
1.801 -1.116 2.818 Na
0.000 2.035 2.848 Na
1.801 3.152 0.029 Sr
0.000 0.000 0.000 Pa
1.801 0.875 1.227 O
1.801 3.196 4.468 O
0.000 -0.377 4.472 O
0.000 4.447 1.223 O
```

Computed properties:
Space-group type: P2/m, No. 10
M_tot, μB/f.u.: 0.93
Raw formation energy, meV per atom: -2530
Total DFT energy (no corrections), eV per atom: -6.736
Fermi-level density of states, states/eV/atom: 0.28

---

First-principles (PBE) data for crystalline PmPr2Ho8 at its relaxed geometry, as listed in Alexandria via LeMat-Bulk.

Geometry as POSCAR:
```
PmPr2Ho8
1.0
2.619 -2.627 -4.944
1.126 -4.392 4.210
-10.289 -2.087 2.085
Pm Pr Ho
1 2 8
Cartesian
0.000 0.000 0.000 Pm
-2.418 -6.714 -0.295 Pr
-4.126 -2.393 1.646 Pr
1.722 -4.328 -1.939 Ho
-5.358 -5.762 1.499 Ho
-4.462 -4.038 -1.499 Ho
-2.082 -5.068 2.850 Ho
-1.187 -3.344 -0.148 Ho
-8.266 -4.779 3.290 Ho
0.837 -6.028 1.057 Ho
-7.382 -3.078 0.294 Ho
```

Computed properties:
Space-group type: P-1, No. 2
Relative energy among the computed polymorphs, meV per atom: 0.0
M_tot, μB/f.u.: 0.00
Total DFT energy (no corrections), eV per atom: -4.609
Fermi-level density of states, states/eV/atom: 1.39

---

First-principles (PBE) data for crystalline LiHfSe3 at its relaxed geometry, as listed in Alexandria via LeMat-Bulk.

Geometry as POSCAR:
```
LiHfSe3
1.0
3.615 0.000 0.000
0.000 6.860 0.000
-1.808 0.000 9.774
Li Hf Se
2 2 6
Cartesian
1.808 6.674 6.622 Li
0.000 3.244 3.153 Li
0.000 3.594 6.629 Hf
1.808 0.164 3.145 Hf
1.808 2.207 7.875 Se
0.000 5.637 1.900 Se
1.808 2.111 1.504 Se
0.000 5.541 8.271 Se
1.808 4.582 4.870 Se
0.000 1.152 4.904 Se
```

Computed properties:
Space-group type: Cmc2_1, No. 36
Relative energy among the computed polymorphs, meV per atom: 0.0
M_tot, μB/f.u.: 0.00
Raw formation energy, meV per atom: -999
Total DFT energy (no corrections), eV per atom: -5.463
Fermi-level density of states, states/eV/atom: 0.54

---

First-principles (PBE) data for crystalline Co2TcPt at its relaxed geometry, as listed in Alexandria via LeMat-Bulk.

Geometry as POSCAR:
```
Co2TcPt
1.0
8.645 -0.005 -0.003
8.233 2.634 -0.003
8.233 1.282 2.301
Co Pt Tc
2 1 1
Cartesian
0.059 0.009 0.005 Co
12.497 1.946 1.142 Co
6.278 0.978 0.574 Pt
18.834 2.933 1.721 Tc
```

Computed properties:
Space-group type: R-3m, No. 166
Relative energy among the computed polymorphs, meV per atom: 69.3
M_tot, μB/f.u.: 2.56
Total DFT energy (no corrections), eV per atom: -7.598
Fermi-level density of states, states/eV/atom: 1.29

---

First-principles (PBE) data for crystalline Ta3Fe8H at its relaxed geometry, as listed in Alexandria via LeMat-Bulk.

Geometry as POSCAR:
```
Ta3Fe8H
1.0
4.595 0.000 1.363
2.095 4.089 1.363
0.070 0.043 8.192
Ta Fe H
3 8 1
Cartesian
4.152 2.538 2.854 Ta
0.087 0.053 8.135 Ta
3.318 2.028 5.666 Ta
2.741 0.264 7.612 Fe
1.455 2.304 3.522 Fe
3.794 2.319 8.297 Fe
0.399 0.244 2.835 Fe
5.435 3.322 6.957 Fe
2.067 1.263 1.459 Fe
1.485 2.319 7.612 Fe
2.714 0.244 3.522 Fe
1.220 0.746 4.314 H
```

Computed properties:
Space-group type: R3m, No. 160
M_tot, μB/f.u.: 11.64
Total DFT energy (no corrections), eV per atom: -8.860
Fermi-level density of states, states/eV/atom: 0.97

---

First-principles (PBE) data for crystalline Sc2AsSe at its relaxed geometry, as listed in Alexandria via LeMat-Bulk.

Geometry as POSCAR:
```
Sc2AsSe
1.0
3.387 0.000 0.000
0.000 3.387 0.000
0.000 0.000 6.839
As Sc Se
1 2 1
Cartesian
1.693 1.693 5.129 As
0.000 0.000 6.770 Sc
0.000 0.000 3.489 Sc
1.693 1.693 1.710 Se
```

Computed properties:
Space-group type: P4/mmm, No. 123
Relative energy among the computed polymorphs, meV per atom: 448.7
M_tot, μB/f.u.: 0.64
Raw formation energy, meV per atom: -1105
Total DFT energy (no corrections), eV per atom: -6.304
Fermi-level density of states, states/eV/atom: 0.94

---

First-principles (PBE) data for crystalline Ta2Ti5Nb at its relaxed geometry, as listed in Alexandria via LeMat-Bulk.

Geometry as POSCAR:
```
Ta2Ti5Nb
1.0
5.471 0.036 -1.886
-2.762 4.722 -1.889
-0.104 -0.181 5.553
Ta Ti Nb
2 5 1
Cartesian
-0.845 3.700 0.800 Ta
3.260 1.337 0.769 Ta
0.528 1.329 1.727 Ti
-0.471 3.577 -1.984 Ti
3.660 1.259 -2.001 Ti
1.884 3.707 -0.161 Ti
0.856 1.022 4.504 Ti
2.153 3.434 2.616 Nb
```

Computed properties:
Space-group type: Fmm2, No. 42
M_tot, μB/f.u.: 0.00
Total DFT energy (no corrections), eV per atom: -9.088
Fermi-level density of states, states/eV/atom: 1.29

---

First-principles (PBE) data for crystalline Y3Ge3Pd2 at its relaxed geometry, as listed in Alexandria via LeMat-Bulk.

Geometry as POSCAR:
```
Y3Ge3Pd2
1.0
4.336 0.000 0.000
-2.168 5.291 0.000
0.000 0.000 14.413
Y Ge Pd
6 6 4
Cartesian
2.168 4.362 5.627 Y
0.000 0.929 12.834 Y
2.168 4.362 1.579 Y
0.000 0.929 8.786 Y
2.168 1.456 3.603 Y
0.000 3.836 10.810 Y
2.168 1.174 6.648 Ge
0.000 4.117 13.854 Ge
2.168 1.174 0.559 Ge
0.000 4.117 7.766 Ge
0.000 3.669 3.603 Ge
2.168 1.622 10.810 Ge
2.168 3.138 12.971 Pd
0.000 2.153 5.765 Pd
2.168 3.138 8.649 Pd
0.000 2.153 1.442 Pd
```

Computed properties:
Space-group type: Cmcm, No. 63
Relative energy among the computed polymorphs, meV per atom: 0.0
M_tot, μB/f.u.: 0.00
Total DFT energy (no corrections), eV per atom: -6.420
Fermi-level density of states, states/eV/atom: 0.31

---

First-principles (PBE) data for crystalline SrTl4Se at its relaxed geometry, as listed in Alexandria via LeMat-Bulk.

Geometry as POSCAR:
```
SrTl4Se
1.0
0.000 4.566 4.566
4.566 0.000 4.566
4.566 4.566 0.000
Sr Tl Se
1 4 1
Cartesian
0.000 0.000 0.000 Sr
3.429 5.702 5.702 Tl
5.702 5.702 3.429 Tl
5.702 3.429 5.702 Tl
3.429 3.429 3.429 Tl
6.848 6.848 6.848 Se
```

Computed properties:
Space-group type: F-43m, No. 216
M_tot, μB/f.u.: 0.00
Raw formation energy, meV per atom: -138
Total DFT energy (no corrections), eV per atom: -2.577
Fermi-level density of states, states/eV/atom: 0.86

---

First-principles (PBE) data for crystalline RuRhW at its relaxed geometry, as listed in Alexandria via LeMat-Bulk.

Geometry as POSCAR:
```
RuRhW
1.0
4.929 -0.032 0.000
2.843 4.026 0.000
-3.886 -1.997 2.282
Rh Ru W
1 1 1
Cartesian
0.070 0.036 0.000 Rh
2.485 1.277 0.000 Ru
5.218 2.681 0.000 W
```

Computed properties:
Space-group type: I4mm, No. 107
Relative energy among the computed polymorphs, meV per atom: 246.8
M_tot, μB/f.u.: 0.00
Total DFT energy (no corrections), eV per atom: -9.695
Fermi-level density of states, states/eV/atom: 1.68

---

First-principles (PBE) data for crystalline KReTe2N at its relaxed geometry, as listed in Alexandria via LeMat-Bulk.

Geometry as POSCAR:
```
KReTe2N
1.0
-5.231 1.072 -2.860
-0.083 -5.720 -1.992
-2.368 -1.304 3.842
Re K Te N
1 1 2 1
Cartesian
-3.841 -2.976 -0.505 Re
0.000 0.000 0.000 K
-0.041 -2.860 -0.996 Te
-2.615 0.536 -1.430 Te
-1.184 -0.652 1.921 N
```

Computed properties:
Space-group type: P4/mmm, No. 123
Relative energy among the computed polymorphs, meV per atom: 2384.3
M_tot, μB/f.u.: 1.12
Raw formation energy, meV per atom: 2424
Total DFT energy (no corrections), eV per atom: -3.207
Fermi-level density of states, states/eV/atom: 0.82

---

First-principles (PBE) data for crystalline YMg2VGa at its relaxed geometry, as listed in Alexandria via LeMat-Bulk.

Geometry as POSCAR:
```
YMg2VGa
1.0
5.778 0.000 0.000
0.000 4.741 0.000
0.000 0.000 5.778
Y Mg Ga V
1 2 1 1
Cartesian
0.000 0.000 0.000 Y
0.000 0.000 2.889 Mg
2.889 0.000 0.000 Mg
2.889 2.371 2.889 Ga
0.000 2.371 0.000 V
```

Computed properties:
Space-group type: P4/mmm, No. 123
M_tot, μB/f.u.: 1.85
Total DFT energy (no corrections), eV per atom: -2.970
Fermi-level density of states, states/eV/atom: 0.98

---

First-principles (PBE) data for crystalline VNiGe at its relaxed geometry, as listed in Alexandria via LeMat-Bulk.

Geometry as POSCAR:
```
VNiGe
1.0
5.310 0.000 -0.005
0.000 3.668 0.000
-2.271 0.000 7.993
Ni Ge V
4 4 4
Cartesian
3.108 0.000 5.699 Ni
4.244 1.834 1.702 Ni
2.992 0.000 3.094 Ni
1.856 1.834 7.091 Ni
3.160 0.000 0.494 Ge
2.024 1.834 4.490 Ge
0.215 0.000 2.875 Ge
-0.920 1.834 6.872 Ge
0.479 0.000 0.333 V
-0.656 1.834 4.330 V
0.496 0.000 5.710 V
1.632 1.834 1.714 V
```

Computed properties:
Space-group type: Cm, No. 8
M_tot, μB/f.u.: 0.00
Total DFT energy (no corrections), eV per atom: -6.745
Fermi-level density of states, states/eV/atom: 0.69

---

First-principles (PBE) data for crystalline Cd3TcO6 at its relaxed geometry, as listed in Alexandria via LeMat-Bulk.

Geometry as POSCAR:
```
Cd3TcO6
1.0
-0.815 4.917 -2.575
-5.447 -1.335 -0.825
-1.910 3.356 7.183
Cd Tc O
6 2 12
Cartesian
-7.082 3.704 3.373 Cd
-3.131 1.791 -1.700 Cd
-1.091 3.233 0.410 Cd
-4.247 5.045 -1.160 Cd
-0.955 1.678 3.592 Cd
-3.926 1.892 4.943 Cd
-4.086 3.469 1.892 Tc
0.000 0.000 0.000 Tc
-3.276 6.444 4.910 O
-2.782 4.819 2.270 O
-3.335 3.333 0.056 O
-4.838 3.605 3.728 O
-5.391 2.118 1.513 O
-4.897 0.494 -1.127 O
-2.877 2.071 2.461 O
-1.822 0.584 -0.095 O
-1.972 3.020 5.224 O
-6.201 3.917 -1.441 O
-6.351 6.353 3.878 O
-5.296 4.866 1.323 O
```

Computed properties:
Space-group type: P2_1/c, No. 14
M_tot, μB/f.u.: 1.02
Raw formation energy, meV per atom: -1101
Total DFT energy (no corrections), eV per atom: -5.387
Fermi-level density of states, states/eV/atom: 0.28

---

First-principles (PBE) data for crystalline Rb6H3ICl2 at its relaxed geometry, as listed in Alexandria via LeMat-Bulk.

Geometry as POSCAR:
```
Rb6H3ICl2
1.0
4.604 0.000 0.000
0.000 9.344 0.305
-2.302 -2.728 9.764
Rb H I Cl
6 3 1 2
Cartesian
0.000 6.813 6.548 Rb
2.302 4.638 3.387 Rb
2.302 -0.198 3.521 Rb
2.302 -0.029 9.765 Rb
0.000 6.645 0.304 Rb
0.000 1.977 6.682 Rb
2.302 4.672 0.153 H
2.302 -0.182 6.502 H
0.000 6.797 3.567 H
2.302 0.000 0.000 I
2.302 4.376 6.695 Cl
0.000 2.240 3.375 Cl
```

Computed properties:
Space-group type: C2/m, No. 12
M_tot, μB/f.u.: 0.12
Total DFT energy (no corrections), eV per atom: -2.709
Fermi-level density of states, states/eV/atom: 0.00

---

Table of mass density (Mg/m³), in record order: 12.2; 3.4; 3.2; 8.1; 6.0; 5.5; 8.2; 5.8; 13.0; 10.7; 5.2; 8.2; 7.0; 8.6; 14.2; 4.8; 2.7; 7.8; 6.8; 2.8